# 1
K2SbH2, optimized geometry, DFT PBE-GGA; N(E_F) = 5.038 states/eV per cell; uncorrected energy = -2.3023 eV per atom; V = 121.29 Å³/f.u.
1.0
8.923 0.000 0.000
0.000 8.923 0.000
0.000 0.000 3.046
K H Sb
4 4 2
Direct
0.860 0.640 0.000
0.140 0.360 0.000
0.360 0.860 0.000
0.640 0.140 0.000
0.880 0.380 0.500
0.120 0.620 0.500
0.380 0.120 0.500
0.620 0.880 0.500
0.500 0.500 0.000
0.000 0.000 0.000


# 2
KSbH4, optimized geometry, DFT PBE-GGA; N(E_F) = 1.162 states/eV per cell; uncorrected energy = -3.2123 eV per atom; V = 106.51 Å³/f.u.
1.0
-2.248 -3.155 -10.081
6.775 0.021 1.631
-3.560 -1.082 5.884
Sb H K
2 8 2
Direct
0.712 0.604 0.132
0.288 0.396 0.868
0.227 0.779 0.575
0.106 0.270 0.197
0.767 0.313 0.388
0.949 0.771 0.972
0.233 0.687 0.612
0.051 0.229 0.028
0.773 0.221 0.425
0.894 0.730 0.803
0.348 0.045 0.150
0.652 0.955 0.850


# 3
KSb2H, optimized geometry, DFT PBE-GGA; N(E_F) = 2.147 states/eV per cell; uncorrected energy = -2.4307 eV per atom; V = 103.03 Å³/f.u.
1.0
-1.851 -4.243 -2.501
-4.389 0.350 -2.882
0.268 -0.286 -5.247
Sb K H
2 1 1
Direct
0.250 0.250 0.250
0.750 0.750 0.750
0.500 0.500 0.500
0.000 0.000 0.000


# 4
K4SbH, optimized geometry, DFT PBE-GGA; uncorrected energy = -2.2513 eV per atom; V = 217.49 Å³/f.u.
1.0
0.221 -0.477 -6.913
-9.097 -0.923 4.563
3.489 7.561 0.671
K Sb H
8 2 2
Direct
0.781 0.745 0.709
0.775 0.394 0.167
0.108 0.227 0.833
0.225 0.606 0.833
0.427 0.964 0.709
0.573 0.036 0.291
0.219 0.255 0.291
0.892 0.773 0.167
0.602 0.352 0.703
0.398 0.648 0.297
0.752 0.002 0.004
0.248 0.998 0.996


# 5
KSbH, optimized geometry, DFT PBE-GGA; N(E_F) = 1.325 states/eV per cell; uncorrected energy = -2.9823 eV per atom; V = 76.75 Å³/f.u.
1.0
5.048 0.000 0.000
0.000 3.452 0.000
0.000 0.000 4.405
K H Sb
1 1 1
Direct
0.500 0.000 0.390
0.000 0.500 0.277
0.000 0.500 0.874


# 6
K2SbH2, optimized geometry, DFT PBE-GGA; N(E_F) = 3.040 states/eV per cell; uncorrected energy = -2.6164 eV per atom; V = 126.74 Å³/f.u.
1.0
-3.424 -3.508 -2.633
8.738 1.955 1.591
-0.125 -5.044 6.884
H K Sb
4 4 2
Direct
0.748 0.622 0.606
0.252 0.378 0.394
0.252 0.378 0.106
0.748 0.622 0.894
0.497 0.800 0.998
0.503 0.200 0.498
0.497 0.800 0.502
0.503 0.200 0.002
0.695 0.599 0.250
0.305 0.401 0.750


# 7
KSbH, optimized geometry, DFT PBE-GGA; N(E_F) = 0.000 states/eV per cell; uncorrected energy = -3.0484 eV per atom; V = 99.79 Å³/f.u.
1.0
7.250 0.000 0.000
0.000 5.455 0.000
-6.826 0.000 10.093
H K Sb
4 4 4
Direct
0.664 0.855 0.905
0.336 0.855 0.095
0.336 0.355 0.595
0.664 0.355 0.405
0.287 0.594 0.786
0.713 0.094 0.714
0.713 0.594 0.214
0.287 0.094 0.286
0.706 0.600 0.511
0.294 0.600 0.489
0.706 0.100 0.011
0.294 0.100 0.989


# 8
KSb2H, optimized geometry, DFT PBE-GGA; uncorrected energy = -3.1956 eV per atom; V = 109.62 Å³/f.u.
1.0
7.842 0.000 -0.124
0.000 6.574 0.000
0.069 0.000 4.252
Sb K H
4 2 2
Direct
0.624 0.968 0.250
0.376 0.032 0.750
0.376 0.468 0.750
0.624 0.532 0.250
0.067 0.750 0.250
0.933 0.250 0.750
0.858 0.750 0.750
0.142 0.250 0.250


# 9
KSbH, optimized geometry, DFT PBE-GGA; N(E_F) = 0.000 states/eV per cell; uncorrected energy = -3.0634 eV per atom; V = 95.60 Å³/f.u.
1.0
-0.992 -5.610 0.745
1.888 1.883 -5.143
6.073 -0.383 2.644
K Sb H
2 2 2
Direct
0.816 0.473 0.426
0.156 0.138 0.924
0.482 0.798 0.208
0.493 0.809 0.647
0.611 0.151 0.716
0.148 0.728 0.150


# 10
K2SbH, optimized geometry, DFT PBE-GGA; N(E_F) = 1.148 states/eV per cell; uncorrected energy = -2.6311 eV per atom; V = 101.90 Å³/f.u.
1.0
-1.542 2.744 -1.270
1.249 -0.720 -3.072
-7.179 -4.858 -1.780
K H Sb
2 1 1
Direct
0.000 0.000 0.189
0.000 0.000 0.811
0.500 0.500 0.000
0.500 0.500 0.500


# 11
KSbH, optimized geometry, DFT PBE-GGA; uncorrected energy = -3.0513 eV per atom; V = 83.96 Å³/f.u.
1.0
6.805 0.000 0.000
0.000 6.679 0.000
-5.809 0.000 7.390
K H Sb
4 4 4
Direct
0.000 0.338 0.000
0.500 0.883 0.000
0.000 0.838 0.500
0.500 0.383 0.500
0.127 0.697 0.275
0.127 0.197 0.775
0.873 0.197 0.225
0.873 0.697 0.725
0.667 0.387 0.195
0.333 0.887 0.305
0.667 0.887 0.695
0.333 0.387 0.805


# 12
KSbH, optimized geometry, DFT PBE-GGA; N(E_F) = 0.233 states/eV per cell; uncorrected energy = -3.0558 eV per atom; V = 86.24 Å³/f.u.
1.0
4.858 0.000 0.000
0.004 5.523 0.000
0.721 2.685 6.429
Sb H K
2 2 2
Direct
0.224 0.080 0.331
0.776 0.920 0.669
0.031 0.842 0.845
0.969 0.158 0.155
0.752 0.619 0.249
0.248 0.381 0.751


# 13
K5SbH, optimized geometry, DFT PBE-GGA; N(E_F) = 5.498 states/eV per cell; uncorrected energy = -2.0417 eV per atom; V = 335.18 Å³/f.u.
1.0
0.291 2.123 -8.077
7.384 -1.648 -3.549
-0.663 -9.342 -6.743
K Sb H
10 2 2
Direct
0.056 0.944 0.750
0.163 0.298 0.878
0.702 0.837 0.622
0.733 0.351 0.518
0.267 0.649 0.482
0.837 0.702 0.122
0.944 0.056 0.250
0.351 0.733 0.018
0.298 0.163 0.378
0.649 0.267 0.982
0.574 0.426 0.250
0.426 0.574 0.750
0.000 0.000 0.000
0.000 0.000 0.500


# 14
K2SbH2, optimized geometry, DFT PBE-GGA; N(E_F) = 2.182 states/eV per cell; uncorrected energy = -2.2268 eV per atom; V = 134.51 Å³/f.u.
1.0
-4.068 0.149 -2.724
-1.330 -4.379 1.746
-5.426 0.392 3.720
K Sb H
2 1 2
Direct
0.665 0.665 0.671
0.335 0.335 0.329
0.000 0.000 0.000
0.750 0.250 0.500
0.250 0.750 0.500


# 15
K4SbH, optimized geometry, DFT PBE-GGA; uncorrected energy = -2.2643 eV per atom; V = 285.36 Å³/f.u.
1.0
-4.236 1.143 -7.732
0.191 -7.238 -5.158
-4.641 0.536 9.726
H K Sb
2 8 2
Direct
0.625 0.875 0.250
0.375 0.125 0.750
0.187 0.324 0.577
0.813 0.676 0.423
0.747 0.110 0.923
0.824 0.687 0.077
0.176 0.313 0.923
0.253 0.890 0.077
0.390 0.753 0.577
0.610 0.247 0.423
0.125 0.375 0.250
0.875 0.625 0.750


# 16
KSbH, optimized geometry, DFT PBE-GGA; uncorrected energy = -3.0345 eV per atom; V = 88.28 Å³/f.u.
1.0
-0.156 3.752 -3.145
-3.911 1.995 2.387
2.652 5.169 4.919
H Sb K
2 2 2
Direct
0.525 0.173 0.748
0.172 0.971 0.319
0.161 0.162 0.735
0.158 0.314 0.344
0.703 0.561 0.980
0.644 0.749 0.484


# 17
KSbH3, optimized geometry, DFT PBE-GGA; N(E_F) = 0.770 states/eV per cell; uncorrected energy = -2.9114 eV per atom; V = 80.56 Å³/f.u.
1.0
4.319 0.000 0.000
0.000 4.319 0.000
0.000 0.000 4.319
Sb H K
1 3 1
Direct
0.000 0.000 0.000
0.000 0.500 0.000
0.500 0.000 0.000
0.000 0.000 0.500
0.500 0.500 0.500


# 18
KSb2H, optimized geometry, DFT PBE-GGA; N(E_F) = 3.201 states/eV per cell; uncorrected energy = -3.0889 eV per atom; V = 112.72 Å³/f.u.
1.0
6.724 0.000 0.000
0.000 6.724 0.000
3.362 3.362 4.987
Sb K H
4 2 2
Direct
0.375 0.625 0.750
0.375 0.625 0.250
0.375 0.125 0.250
0.875 0.625 0.750
0.750 0.250 0.500
0.000 0.000 0.000
0.500 0.500 0.000
0.250 0.750 0.500


# 19
KSbH, optimized geometry, DFT PBE-GGA; N(E_F) = 2.779 states/eV per cell; uncorrected energy = -2.7701 eV per atom; V = 79.57 Å³/f.u.
1.0
-3.135 1.555 -1.858
-2.321 -2.795 1.578
-1.769 5.983 7.993
H K Sb
2 2 2
Direct
0.373 0.610 0.944
0.873 0.110 0.944
0.373 0.110 0.779
0.873 0.610 0.108
0.873 0.610 0.505
0.373 0.110 0.383


# 20
KSbH3, optimized geometry, DFT PBE-GGA; N(E_F) = 1.821 states/eV per cell; uncorrected energy = -2.0686 eV per atom; V = 78.33 Å³/f.u.
1.0
4.279 0.000 0.000
0.000 4.279 0.000
0.000 0.000 4.279
H Sb K
3 1 1
Direct
0.000 0.500 0.000
0.500 0.000 0.000
0.000 0.000 0.500
0.500 0.500 0.500
0.000 0.000 0.000